VASP calculation (meta-GGA SCAN) on a PBEsol-optimized structure of USO6.

Computed properties:
The uncorrected formation energy is -2.400 eV per atom. The total energy comes out at -21.218 eV per atom.

Lattice parameters (Å, degrees): 6.7331 5.8587 12.8344 90.00 103.22 90.00
Positions (direct):
U  0.1779  0.2478  0.3382
U  0.1779  0.2522  0.8382
U  0.8221  0.7478  0.1618
U  0.8221  0.7522  0.6618
S  0.2851  0.5408  0.1050
S  0.2851  0.9592  0.6050
S  0.7149  0.0408  0.3950
S  0.7149  0.4592  0.8950
O  0.0889  0.5226  0.7694
O  0.0889  0.9774  0.2694
O  0.1158  0.7069  0.0965
O  0.1158  0.7931  0.5965
O  0.2541  0.5124  0.4037
O  0.2541  0.9876  0.9037
O  0.2633  0.1456  0.6794
O  0.2633  0.3544  0.1794
O  0.2804  0.0570  0.4987
O  0.2804  0.4430  0.9987
O  0.4804  0.6591  0.1450
O  0.4804  0.8409  0.6450
O  0.5196  0.1591  0.3550
O  0.5196  0.3409  0.8550
O  0.7196  0.5570  0.0013
O  0.7196  0.9430  0.5013
O  0.7367  0.6456  0.8206
O  0.7367  0.8544  0.3206
O  0.7459  0.0124  0.0963
O  0.7459  0.4876  0.5963
O  0.8842  0.2069  0.4035
O  0.8842  0.2931  0.9035
O  0.9111  0.0226  0.7306
O  0.9111  0.4774  0.2306